(1)
# MgZr2CuTc

A relaxed MgZr2CuTc crystal (GGA-PBE, Alexandria via LeMat-Bulk).

Cell and atoms, written as extended XYZ:
```
5
Lattice="4.9144 0.0000 0.0000 0.0000 4.9144 0.0000 0.0000 0.0000 4.5482" Properties=species:S:1:pos:R:3 pbc="T T T"
Mg 0.0000 0.0000 0.0000
Zr 0.0000 2.4572 2.2741
Zr 2.4572 0.0000 2.2741
Cu 2.4572 2.4572 2.2741
Tc 2.4572 2.4572 0.0000
```

Properties
As for the total magnetization: 0.000 μB per atom. The calculation puts the density of states at the Fermi level at 1.21 states/eV per atom. Its formation energy is 3.5 eV per formula unit.


(2)
# Rb2TePb2

A relaxed Rb2TePb2 crystal (GGA-PBE, Alexandria via LeMat-Bulk).

Cell and atoms, written as extended XYZ:
```
10
Lattice="8.4794 0.0000 0.0000 0.0000 8.4794 0.0000 0.0000 0.0000 5.8972" Properties=species:S:1:pos:R:3 pbc="T T T"
Rb 1.5842 2.6555 0.0000
Rb 2.6555 6.8952 0.0000
Rb 5.8239 1.5842 0.0000
Rb 6.8952 5.8239 0.0000
Te 0.0000 0.0000 2.9486
Te 4.2397 4.2397 2.9486
Pb 1.0614 5.3011 2.9486
Pb 3.1783 1.0614 2.9486
Pb 5.3011 7.4180 2.9486
Pb 7.4180 3.1783 2.9486
```

Properties
As for the total magnetization: 0.000 μB per atom. The calculation puts the uncorrected formation energy at -236 meV per atom. The calculation puts the density of states at the Fermi level at 0.57 states/eV per atom.


(3)
# PrMnNi10

A relaxed PrMnNi10 crystal (GGA-PBE, Alexandria via LeMat-Bulk).

Cell and atoms, written as extended XYZ:
```
12
Lattice="4.0017 0.0000 0.0000 0.0000 4.7919 0.0000 0.0000 0.0000 8.3583" Properties=species:S:1:pos:R:3 pbc="T T T"
Pr 0.0000 0.0000 0.0000
Mn 0.0000 2.3960 4.1791
Ni 0.0000 0.0000 2.9000
Ni 0.0000 0.0000 5.4583
Ni 0.0000 2.3960 1.5907
Ni 0.0000 2.3960 6.7676
Ni 2.0009 0.0000 4.1791
Ni 2.0009 1.2148 2.1676
Ni 2.0009 1.2148 6.1907
Ni 2.0009 2.3960 0.0000
Ni 2.0009 3.5771 2.1676
Ni 2.0009 3.5771 6.1907
```

Properties
As for the total magnetization: 0.700 μB per atom. The calculation puts the density of states at the Fermi level at 1.14 states/eV per atom. Its formation energy is -0.6 eV per formula unit.